{
  "formula": "Ni3MoIr4",
  "functional": "PBE",
  "state": "relaxed",
  "lattice_angstrom": [[3.698, 0.000, -0.998], [-0.264, 3.693, -0.979], [0.122, 0.093, 7.802]],
  "species": ["Ir", "Ir", "Ir", "Ir", "Ni", "Ni", "Ni", "Mo"],
  "frac_coords": [[0.127, 0.127, 0.253], [0.627, 0.627, 0.253], [0.373, 0.373, 0.747], [0.873, 0.873, 0.747], [0.245, 0.745, 0.490], [0.755, 0.255, 0.510], [0.000, 0.500, 0.000], [0.500, 0.000, 0.000]],
  "n_ef_per_ev_fu": 10.6,
  "ef_ev_per_atom": -0.07,
  "vol_a3_per_cell": 107
}